## SrCrCd2O4 (PBE with a Hubbard U)

Data for an optimized crystal structure of SrCrCd2O4.

Properties
- total DFT energy (no corrections) (eV per formula unit) = -42.68
- density of states at the Fermi level (states/eV/cell) = 3.47

a b c (Å): 5.515 5.515 5.515
angles (deg): 116.27 115.95 96.89
Fractional coordinates of all 8 atoms:
Sr: 0.000 0.000 0.000
Cr: 0.500 0.500 0.000
Cd: 0.251 0.751 0.500
Cd: 0.749 0.249 0.500
O: 0.153 0.154 0.551
O: 0.397 0.846 0.999
O: 0.603 0.602 0.449
O: 0.847 0.398 0.001